Entry from Alexandria: an optimized crystal structure of ScFeOF2 (PBE with a Hubbard U).

Cell and atoms, written as POSCAR:
```
ScFeOF2
1.0
4.0475 0.0000 0.0000
0.0000 4.0475 0.0000
0.0000 0.0000 3.9783
Sc Fe O F
1 1 1 2
Direct
0.0000 0.0000 0.0000
0.5000 0.5000 0.5000
0.5000 0.5000 0.0000
0.0000 0.5000 0.5000
0.5000 0.0000 0.5000
```

Summary:
The value obtained for the density of states at the Fermi level is 2.6 states/eV/f.u. As for the magnetic moment: 3.00 Bohr magnetons per cell. As for the space group: P4/mmm. The value obtained for the energy above the lowest structure with this stoichiometry is 381.0 meV/atom.